A | Entry from the Alexandria database: a relaxed Zr3Fe2Si3 crystal (PBE).

It has space group Cmcm (No. 63), with a = 3.629 Å, b = 9.725 Å, c = 14.359 Å, α = 90.00°, β = 90.00° and γ = 90.00°. The asymmetric unit holds Zr at (0.000, 0.006, 0.250), Zr at (0.000, 0.140, 0.043), Fe at (0.000, 0.256, 0.655), Si at (0.000, 0.281, 0.250) and Si at (0.000, 0.418, 0.107).

The magnetic moment is 0.00 μB/f.u. For the calculated volume, the calculation gives 15.8 Å³ per atom.

***

B | Entry from the Alexandria database: a relaxed Zr3Fe2Si3 crystal (PBE).

It has space group Cmcm (No. 63), with a = 3.853 Å, b = 10.085 Å, c = 12.982 Å, α = 90.00°, β = 90.00° and γ = 90.00°. The asymmetric unit holds Zr at (0.000, 0.077, 0.114), Zr at (0.000, 0.364, 0.250), Fe at (0.000, 0.221, 0.581), Si at (0.000, 0.332, 0.750) and Si at (0.000, 0.387, 0.042).

The magnetic moment is 0.00 μB/f.u. For the calculated volume, the calculation gives 15.8 Å³ per atom.

***

Which structure is most stable, and how do the rest compare? From most to least stable: B, A.

***

A | Entry from the Alexandria database: a relaxed Zr2Fe3Si3 crystal (PBE).

It has space group Cmcm (No. 63), with a = 3.792 Å, b = 9.581 Å, c = 12.822 Å, α = 90.00°, β = 90.00° and γ = 90.00°. The asymmetric unit holds Zr at (0.000, 0.145, 0.076), Fe at (0.000, 0.302, 0.250), Fe at (0.000, 0.460, 0.086), Si at (0.000, 0.149, 0.646) and Si at (0.000, 0.401, 0.750).

The magnetic moment is 1.59 μB/f.u. For the calculated volume, the calculation gives 14.6 Å³ per atom.

***

B | Entry from the Alexandria database: a relaxed Zr2Fe3Si3 crystal (PBE).

It has space group Cmcm (No. 63), with a = 3.027 Å, b = 13.010 Å, c = 11.986 Å, α = 90.00°, β = 90.00° and γ = 90.00°. The asymmetric unit holds Zr at (0.000, 0.242, 0.122), Fe at (0.000, 0.026, 0.613), Fe at (0.000, 0.407, 0.750), Si at (0.000, 0.408, 0.250) and Si at (0.000, 0.408, 0.529).

The magnetic moment is 4.83 μB/f.u. For the calculated volume, the calculation gives 14.7 Å³ per atom.

***

Which structure is most stable, and how do the rest compare? From most to least stable: A, B.

***

A | Entry from the Alexandria database: a relaxed SmFe6 crystal (PBE).

It has space group Im-3m (No. 229), with a = 6.030 Å, b = 6.030 Å, c = 6.030 Å, α = 90.00°, β = 90.00° and γ = 90.00°. The asymmetric unit holds Sm at (0.000, 0.000, 0.000) and Fe at (0.000, 0.250, 0.500).

The magnetic moment is 0.00 μB/f.u. For the calculated volume, the calculation gives 15.7 Å³ per atom.

***

B | Entry from the Alexandria database: a relaxed SmFe6 crystal (PBE).

It has space group Pnma (No. 62), with a = 7.964 Å, b = 4.894 Å, c = 10.154 Å, α = 90.00°, β = 90.00° and γ = 90.00°. The asymmetric unit holds Sm at (0.240, 0.250, 0.062), Fe at (0.051, 0.750, 0.097), Fe at (0.064, 0.006, 0.308), Fe at (0.095, 0.250, 0.515), Fe at (0.148, 0.750, 0.858) and Fe at (0.190, 0.250, 0.752).

The magnetic moment is 13.02 μB/f.u. For the calculated volume, the calculation gives 14.1 Å³ per atom.

***

Which structure is most stable, and how do the rest compare? From most to least stable: B, A.

***

A | Entry from the Alexandria database: a relaxed TbSmFe crystal (PBE).

It has space group I4mm (No. 107), with a = 3.417 Å, b = 3.417 Å, c = 12.909 Å, α = 90.00°, β = 90.00° and γ = 90.00°. The asymmetric unit holds Tb at (0.000, 0.000, 0.000), Sm at (0.000, 0.000, 0.254) and Fe at (0.000, 0.000, 0.624).

The magnetic moment is 0.91 μB/f.u. For the calculated volume, the calculation gives 25.1 Å³ per atom.

***

B | Entry from the Alexandria database: a relaxed TbSmFe crystal (PBE).

It has space group Cmce (No. 64), with a = 6.950 Å, b = 12.026 Å, c = 7.397 Å, α = 90.00°, β = 90.00° and γ = 90.00°. The asymmetric unit holds Tb at (0.250, 0.043, 0.250), Sm at (0.000, 0.198, 0.613) and Fe at (0.000, 0.091, 0.957).

The magnetic moment is 0.81 μB/f.u. For the calculated volume, the calculation gives 25.8 Å³ per atom.

***

Which structure is most stable, and how do the rest compare? From most to least stable: B, A.

***

A | Entry from the Alexandria database: a relaxed Tb2SmFe crystal (PBE).

It has space group R-3m (No. 166, hexagonal axes), with a = 3.5880 Å, b = 3.5880 Å, c = 29.3808 Å, α = 90.00°, β = 90.00° and γ = 120.00°. The asymmetric unit holds Tb at (0.0000, 0.0000, 0.2283), Sm at (0.0000, 0.0000, 0.0000) and Fe at (0.0000, 0.0000, 0.5000).

The magnetic moment is 1.21 μB/f.u. For the calculated volume, the calculation gives 27.3 Å³ per atom.

***

B | Entry from the Alexandria database: a relaxed Tb2SmFe crystal (PBE).

It has space group P4/mmm (No. 123), with a = 3.374 Å, b = 3.374 Å, c = 9.132 Å, α = 90.00°, β = 90.00° and γ = 90.00°. The asymmetric unit holds Tb at (0.000, 0.000, 0.177), Sm at (0.500, 0.500, 0.500) and Fe at (0.500, 0.500, 0.000).

The magnetic moment is 0.00 μB/f.u. For the calculated volume, the calculation gives 26.0 Å³ per atom.

***

Which structure is most stable, and how do the rest compare? From most to least stable: B, A.

***

A | Entry from the Alexandria database: a relaxed SmTh2Fe crystal (PBE).

It has space group Pnma (No. 62), with a = 7.018 Å, b = 9.738 Å, c = 6.326 Å, α = 90.00°, β = 90.00° and γ = 90.00°. The asymmetric unit holds Sm at (0.048, 0.250, 0.147), Th at (0.168, 0.069, 0.671) and Fe at (0.098, 0.750, 0.378).

The magnetic moment is 0.00 μB/f.u. For the calculated volume, the calculation gives 27.0 Å³ per atom.

***

B | Entry from the Alexandria database: a relaxed SmTh2Fe crystal (PBE).

It has space group R-3m (No. 166, hexagonal axes), with a = 3.7559 Å, b = 3.7559 Å, c = 30.1206 Å, α = 90.00°, β = 90.00° and γ = 120.00°. The asymmetric unit holds Sm at (0.0000, 0.0000, 0.0000), Th at (0.0000, 0.0000, 0.1149) and Fe at (0.0000, 0.0000, 0.5000).

The magnetic moment is 0.00 μB/f.u. For the calculated volume, the calculation gives 30.7 Å³ per atom.

***

Which structure is most stable, and how do the rest compare? From most to least stable: A, B.

***

A | Entry from the Alexandria database: a relaxed SmTh2Fe crystal (PBE).

It has space group P4/mmm (No. 123), with a = 3.514 Å, b = 3.514 Å, c = 8.769 Å, α = 90.00°, β = 90.00° and γ = 90.00°. The asymmetric unit holds Sm at (0.000, 0.000, 0.000), Th at (0.500, 0.500, 0.305) and Fe at (0.000, 0.000, 0.500).

The magnetic moment is 1.91 μB/f.u. For the calculated volume, the calculation gives 27.1 Å³ per atom.

***

B | Entry from the Alexandria database: a relaxed SmTh2Fe crystal (PBE).

It has space group R3m (No. 160, hexagonal axes), with a = 3.8704 Å, b = 3.8704 Å, c = 26.7050 Å, α = 90.00°, β = 90.00° and γ = 120.00°. The asymmetric unit holds Sm at (0.0000, 0.0000, 0.0000), Th at (0.0000, 0.0000, 0.5566), Th at (0.0000, 0.0000, 0.7765) and Fe at (0.0000, 0.0000, 0.1650).

The magnetic moment is 0.00 μB/f.u. For the calculated volume, the calculation gives 28.9 Å³ per atom.

***

Which structure is most stable, and how do the rest compare? From most to least stable: B, A.

***

A | Entry from the Alexandria database: a relaxed SmThFe crystal (PBE).

It has space group P2_1/c (No. 14), with a = 6.802 Å, b = 6.305 Å, c = 7.212 Å, α = 90.00°, β = 104.36° and γ = 90.00°. The asymmetric unit holds Sm at (0.140, 0.148, 0.360), Th at (0.393, 0.673, 0.309) and Fe at (0.154, 0.597, 0.506).

The magnetic moment is 0.00 μB/f.u. For the calculated volume, the calculation gives 25.0 Å³ per atom.

***

B | Entry from the Alexandria database: a relaxed SmThFe crystal (PBE).

It has space group I4mm (No. 107), with a = 3.471 Å, b = 3.471 Å, c = 12.326 Å, α = 90.00°, β = 90.00° and γ = 90.00°. The asymmetric unit holds Sm at (0.000, 0.000, 0.000), Th at (0.000, 0.000, 0.272) and Fe at (0.000, 0.000, 0.654).

The magnetic moment is 0.74 μB/f.u. For the calculated volume, the calculation gives 24.8 Å³ per atom.

***

C | Entry from the Alexandria database: a relaxed SmThFe crystal (PBE).

It has space group C2/m (No. 12), with a = 11.742 Å, b = 3.802 Å, c = 8.815 Å, α = 90.00°, β = 128.38° and γ = 90.00°. The asymmetric unit holds Sm at (0.191, 0.000, 0.114), Th at (0.077, 0.500, 0.367) and Fe at (0.133, 0.000, 0.597).

The magnetic moment is 0.00 μB/f.u. For the calculated volume, the calculation gives 25.7 Å³ per atom.

***

Which structure is most stable, and how do the rest compare? From most to least stable: A, C, B.